{
  "formula": "TaTiIr2",
  "functional": "PBE-GGA",
  "state": "optimized geometry",
  "e_form_mev_per_atom": -692,
  "lattice_angstrom": [[5.827, 0.000, 0.000], [0.000, 7.412, 0.000], [0.000, 0.000, 2.907]],
  "species": ["Ta", "Ta", "Ti", "Ti", "Ir", "Ir", "Ir", "Ir"],
  "frac_coords": [[0.000, 0.000, 0.000], [0.500, 0.500, 0.000], [0.000, 0.500, 0.000], [0.500, 0.000, 0.000], [0.250, 0.250, 0.500], [0.250, 0.750, 0.500], [0.750, 0.250, 0.500], [0.750, 0.750, 0.500]]
}